Compound: ZnCdHg4
Source: Alexandria
Functional: PBE
Structure: optimized geometry

Geometry as CIF:
```
data_ZnCdHg4
_chemical_formula_sum 'Zn1 Cd1 Hg4'
_cell_length_a 6.287
_cell_length_b 6.287
_cell_length_c 6.287
_cell_angle_alpha 60.00
_cell_angle_beta 60.00
_cell_angle_gamma 60.00
_space_group_name_H-M_alt 'P 1'
_space_group_IT_number 1
loop_
_space_group_symop_operation_xyz
'x,y,z'
loop_
_atom_site_label
_atom_site_type_symbol
_atom_site_fract_x
_atom_site_fract_y
_atom_site_fract_z
Zn1 Zn 0.000 0.000 0.000
Cd1 Cd 0.750 0.750 0.750
Hg1 Hg 0.375 0.375 0.375
Hg2 Hg 0.375 0.375 0.875
Hg3 Hg 0.375 0.875 0.375
Hg4 Hg 0.875 0.375 0.375
```

Computed properties:
Magnetization = 0.00 μB per atom
Space-group type = F-43m, No. 216
Energy relative to the elements = 1.17 eV/f.u.
Volume = 175.7 Å³ per cell